CaScAl2 | GGA-PBE | relaxed

The crystal system is tetragonal. Its total energy is -17.08 eV/cell. Its energy above the most stable polymorph in this dataset is 0.0 meV per atom. The total moment comes out at 0.00 Bohr magnetons per cell. Its formation energy is -0.32 eV per atom.

The space group is P4/mmm (No. 123) and the conventional cell measures 3.503, 3.503 and 7.209 Å, with angles of 90.00, 90.00 and 90.00 degrees. The asymmetric unit holds Ca at (0.000, 0.000, 0.000), Sc at (0.000, 0.000, 0.500) and Al at (0.500, 0.500, 0.281).